(1)
First-principles (PBE-GGA) data for a relaxed PaSnPO crystal, as listed in OQMD.

Properties
Final energy (eV/atom): -6.10
Relative energy among the computed polymorphs (meV/atom): 838
Total magnetization (μB/f.u.): 0.0
Calculated density (Mg/m³): 8.72

Cell lengths 4.6762, 4.6762, 6.9126 Å; angles 90.00, 90.00, 90.00 degrees
Space group P4/nmm (No. 129, origin choice 2)
Asymmetric unit:
Pa 0.2500 0.7500 0.0000
Sn 0.2500 0.2500 0.4075
P 0.2500 0.2500 0.7862
O 0.2500 0.7500 0.5000


(2)
First-principles (PBE-GGA) data for a relaxed CdTePtO crystal, as listed in OQMD.

Properties
Final energy (eV/atom): -3.76
Relative energy among the computed polymorphs (meV/atom): 502
Total magnetization (μB/f.u.): 0.0
Calculated density (Mg/m³): 8.82

Cell lengths 4.4994, 4.4994, 8.3942 Å; angles 90.00, 90.00, 90.00 degrees
Space group P4/nmm (No. 129, origin choice 2)
Asymmetric unit:
Cd 0.2500 0.2500 0.1710
Te 0.2500 0.7500 0.5000
Pt 0.2500 0.2500 0.6873
O 0.2500 0.2500 0.9233


(3)
First-principles (PBE-GGA) data for a relaxed Zr6Al16Os7 crystal, as listed in OQMD.

Properties
Final energy (eV/atom): -7.12
Total magnetization (μB/f.u.): 0.0
Calculated density (Mg/m³): 8.08

Cell lengths 12.3851, 12.3851, 12.3851 Å; angles 90.00, 90.00, 90.00 degrees
Space group Fm-3m (No. 225)
Asymmetric unit:
Zr 0.0000 0.0000 0.2079
Al 0.1199 0.1199 0.3801
Al 0.1634 0.1634 0.1634
Os 0.0000 0.0000 0.5000
Os 0.0000 0.2500 0.2500